Entry 1:
Density functional theory data (PBE) for crystalline Be6NiRh5 at its relaxed geometry.

Computed properties:
Calculated total energy: -72.19 eV for the cell shown
DOS at the Fermi energy: 0.73 states/eV per atom
V: 10.551 Å³/atom
Space-group type: Immm

Unit cell a=3.8874 b=5.5443 c=6.7804 alpha=114.13 beta=106.66 gamma=90.00
Element x y z (fractional)
Be 0.8335 0.5816 0.6670
Be 0.8335 0.0854 0.6670
Be 0.4999 0.7449 0.0000
Be 0.5001 0.2551 0.0000
Be 0.1665 0.9146 0.3330
Be 0.1665 0.4184 0.3330
Rh 0.6584 0.1584 0.3167
Rh 0.3304 0.3304 0.6609
Rh 0.0000 0.5000 0.0000
Rh 0.6696 0.6696 0.3391
Rh 0.3416 0.8416 0.6833
Ni 0.0000 0.0000 0.0000

Entry 2:
Density functional theory data (PBE) for crystalline Be4NiRh5 at its relaxed geometry.

Computed properties:
Calculated total energy: -62.13 eV for the cell shown
DOS at the Fermi energy: 0.98 states/eV per atom
V: 11.235 Å³/atom
Space-group type: P4/mmm

Unit cell a=2.7847 b=2.7847 c=14.4886 alpha=90.00 beta=90.00 gamma=90.00
Element x y z (fractional)
Be 0.0000 0.0000 0.2140
Be 0.0000 0.0000 0.4036
Be 0.0000 0.0000 0.5964
Be 0.0000 0.0000 0.7860
Ni 0.0000 0.0000 0.0000
Rh 0.5000 0.5000 0.1162
Rh 0.5000 0.5000 0.3078
Rh 0.5000 0.5000 0.5000
Rh 0.5000 0.5000 0.6922
Rh 0.5000 0.5000 0.8838

Entry 3:
Density functional theory data (PBE) for crystalline BeNi6Rh at its relaxed geometry.

Computed properties:
Calculated total energy: -185.01 eV for the cell shown
DOS at the Fermi energy: 1.28 states/eV per atom
V: 11.036 Å³/atom
Space-group type: Cmmm

Unit cell a=6.1209 b=6.1209 c=10.0397 alpha=90.00 beta=90.00 gamma=110.13
Element x y z (fractional)
Be 0.2453 0.7547 0.7500
Be 0.7547 0.2453 0.7500
Be 0.5000 0.5000 0.5081
Be 0.5000 0.5000 0.9919
Ni 0.2523 0.7477 0.5080
Ni 0.8698 0.6158 0.6301
Ni 0.1302 0.3842 0.6301
Ni 0.7477 0.2523 0.5080
Ni 0.3842 0.1302 0.6301
Ni 0.6158 0.8698 0.6301
Ni 0.5000 0.5000 0.2500
Ni 0.1370 0.3816 0.3820
Ni 0.3816 0.1370 0.3820
Ni 0.2523 0.7477 0.9920
Ni 0.8630 0.6184 0.1180
Ni 0.1370 0.3816 0.1180
Ni 0.7477 0.2523 0.9920
Ni 0.3816 0.1370 0.1180
Ni 0.6184 0.8630 0.1180
Ni 0.5000 0.5000 0.7500
Ni 0.1302 0.3842 0.8699
Ni 0.3842 0.1302 0.8699
Ni 0.0000 0.0000 0.2500
Ni 0.6184 0.8630 0.3820
Ni 0.8630 0.6184 0.3820
Ni 0.0000 0.0000 0.7500
Ni 0.6158 0.8698 0.8699
Ni 0.8698 0.6158 0.8699
Rh 0.2468 0.7532 0.2500
Rh 0.7532 0.2468 0.2500
Rh 0.0000 0.0000 0.5042
Rh 0.0000 0.0000 0.9958

Entry 4:
Density functional theory data (PBE) for crystalline Be3NiRh at its relaxed geometry.

Computed properties:
DOS at the Fermi energy: 0.48 states/eV per atom
V: 11.287 Å³/atom
Space-group type: Pm-3m
E above lowest polymorph: 0 meV/atom

Unit cell a=3.8357 b=3.8357 c=3.8357 alpha=90.00 beta=90.00 gamma=90.00
Element x y z (fractional)
Ni 0.0000 0.0000 0.0000
Rh 0.5000 0.5000 0.5000
Be 0.0000 0.5000 0.0000
Be 0.0000 0.0000 0.5000
Be 0.5000 0.0000 0.0000

Entry 5:
Density functional theory data (PBE) for crystalline Be6NiRh at its relaxed geometry.

Computed properties:
DOS at the Fermi energy: 0.71 states/eV per atom
V: 9.343 Å³/atom
Space-group type: Pm-3
E above lowest polymorph: 192 meV/atom

Unit cell a=4.2124 b=4.2124 c=4.2124 alpha=90.00 beta=90.00 gamma=90.00
Element x y z (fractional)
Be 0.5000 0.7523 0.0000
Be 0.7523 0.0000 0.5000
Be 0.0000 0.5000 0.2477
Be 0.2477 0.0000 0.5000
Be 0.5000 0.2477 0.0000
Be 0.0000 0.5000 0.7523
Ni 0.0000 0.0000 0.0000
Rh 0.5000 0.5000 0.5000

Entry 6:
Density functional theory data (PBE) for crystalline Be5NiRh4 at its relaxed geometry.

Computed properties:
Calculated total energy: -59.66 eV for the cell shown
DOS at the Fermi energy: 0.68 states/eV per atom
V: 10.512 Å³/atom
Space-group type: P4/mmm

Unit cell a=2.7704 b=2.7704 c=13.6964 alpha=90.00 beta=90.00 gamma=90.00
Element x y z (fractional)
Be 0.5000 0.5000 0.0949
Be 0.5000 0.5000 0.2952
Be 0.5000 0.5000 0.5000
Be 0.5000 0.5000 0.7048
Be 0.5000 0.5000 0.9051
Ni 0.0000 0.0000 0.0000
Rh 0.0000 0.0000 0.1927
Rh 0.0000 0.0000 0.3978
Rh 0.0000 0.0000 0.6022
Rh 0.0000 0.0000 0.8073

Entry 7:
Density functional theory data (PBE) for crystalline Be2NiRh2 at its relaxed geometry.

Computed properties:
DOS at the Fermi energy: 1.18 states/eV per atom
V: 11.940 Å³/atom
Space-group type: I4/mmm
E above lowest polymorph: 452 meV/atom

Unit cell a=4.2610 b=4.2610 c=4.4597 alpha=61.46 beta=61.46 gamma=90.00
Element x y z (fractional)
Ni 0.0000 0.0000 0.0000
Rh 0.7500 0.2500 0.5000
Rh 0.2500 0.7500 0.5000
Be 0.3403 0.3403 0.3194
Be 0.6597 0.6597 0.6806

Entry 8:
Density functional theory data (PBE) for crystalline BeNiRh at its relaxed geometry.

Computed properties:
DOS at the Fermi energy: 1.30 states/eV per atom
V: 11.828 Å³/atom
Space-group type: F-43m
E above lowest polymorph: 220 meV/atom

Unit cell a=3.6885 b=3.6885 c=3.6885 alpha=60.00 beta=60.00 gamma=60.00
Element x y z (fractional)
Ni 0.0000 0.0000 0.0000
Rh 0.5000 0.5000 0.5000
Be 0.7500 0.7500 0.7500